DFT (PBE-GGA) results for crystalline TbDyNi4 at its relaxed geometry.

Results
DFT formation energy = -443 meV per atom
Magnetic moment = 0.000 μB/f.u.
Crystal system = cubic
Distance to the lowest polymorph of the same formula = 0.000 eV/atom
Total energy = -34.162 eV/cell
Space group = F-43m, No. 216

Lattice parameters (Å, degrees): 5.053 5.053 5.053 60.00 60.00 60.00
Atoms (fractional coordinates):
Dy 0.750 0.750 0.750
Ni 0.375 0.375 0.375
Ni 0.375 0.875 0.375
Ni 0.875 0.375 0.375
Ni 0.375 0.375 0.875
Tb 0.000 0.000 0.000

---

DFT (PBE-GGA) results for crystalline TbDy2Tl3Ni3 at its relaxed geometry.

Results
Magnetic moment = 0.012 μB/f.u.
Crystal system = orthorhombic
Total energy = -40.800 eV/cell
Space group = Amm2, No. 38

Lattice parameters (Å, degrees): 3.751 7.568 7.568 120.01 90.00 90.00
Atoms (fractional coordinates):
Dy 0.500 0.592 0.000
Dy 0.500 0.000 0.592
Ni 0.000 0.667 0.333
Ni 0.000 0.333 0.667
Ni 0.500 0.000 0.000
Tb 0.500 0.408 0.408
Tl 0.000 0.000 0.261
Tl 0.000 0.739 0.739
Tl 0.000 0.261 0.000

---

DFT (PBE-GGA) results for crystalline DyNi2Te at its relaxed geometry.

Results
Magnetic moment = 0.000 μB/f.u.
Crystal system = orthorhombic
Distance to the lowest polymorph of the same formula = 0.000 eV/atom
Total energy = -41.507 eV/cell
Space group = Pmn2_1, No. 31

Lattice parameters (Å, degrees): 4.179 6.232 5.497 90.00 90.00 90.00
Atoms (fractional coordinates):
Dy 0.000 0.914 0.136
Dy 0.500 0.086 0.636
Ni 0.500 0.253 0.131
Ni 0.500 0.657 0.368
Ni 0.000 0.747 0.631
Ni 0.000 0.343 0.868
Te 0.000 0.387 0.365
Te 0.500 0.613 0.865

---

DFT (PBE-GGA) results for crystalline DyNi2Te at its relaxed geometry.

Results
Magnetic moment = 0.001 μB/f.u.
Crystal system = orthorhombic
Distance to the lowest polymorph of the same formula = 0.031 eV/atom
Total energy = -41.259 eV/cell
Space group = Pmc2_1, No. 26

Lattice parameters (Å, degrees): 4.235 5.001 7.078 90.00 90.00 90.00
Atoms (fractional coordinates):
Dy 0.500 0.696 0.181
Dy 0.500 0.304 0.681
Ni 0.500 0.201 0.075
Ni 0.000 0.639 0.450
Ni 0.500 0.799 0.575
Ni 0.000 0.361 0.950
Te 0.000 0.186 0.294
Te 0.000 0.814 0.794

---

DFT (PBE-GGA) results for crystalline Dy3Ni4Te at its relaxed geometry.

Results
Magnetic moment = 0.006 μB/f.u.
Crystal system = monoclinic
Total energy = -42.654 eV/cell
Space group = Pm, No. 6

Lattice parameters (Å, degrees): 5.325 4.031 6.971 90.00 91.19 90.00
Atoms (fractional coordinates):
Dy 0.875 0.000 0.181
Dy 0.623 0.000 0.673
Dy 0.125 0.500 0.821
Ni 0.374 0.000 0.044
Ni 0.864 0.500 0.459
Ni 0.130 0.000 0.527
Ni 0.632 0.500 0.966
Te 0.376 0.500 0.328

---

DFT (PBE-GGA) results for crystalline DyNi2Te at its relaxed geometry.

Results
Magnetic moment = 0.001 μB/f.u.
Crystal system = monoclinic
Distance to the lowest polymorph of the same formula = 0.075 eV/atom
Total energy = -40.904 eV/cell
Space group = P2_1/m, No. 11

Lattice parameters (Å, degrees): 4.928 4.087 7.163 90.00 94.58 90.00
Atoms (fractional coordinates):
Dy 0.646 0.250 0.200
Dy 0.354 0.750 0.800
Ni 0.133 0.250 0.041
Ni 0.665 0.750 0.475
Ni 0.335 0.250 0.525
Ni 0.867 0.750 0.959
Te 0.148 0.750 0.302
Te 0.852 0.250 0.698

---

DFT (PBE-GGA) results for crystalline Dy5Tm2Ni2Te2 at its relaxed geometry.

Results
Magnetic moment = 0.006 μB/f.u.
Crystal system = orthorhombic
Distance to the lowest polymorph of the same formula = 0.008 eV/atom
Total energy = -56.799 eV/cell
Space group = Imm2, No. 44

Lattice parameters (Å, degrees): 9.319 9.319 9.319 156.26 66.74 118.66
Atoms (fractional coordinates):
Dy 0.402 0.255 0.147
Dy 0.087 0.902 0.184
Dy 0.023 0.523 0.500
Dy 0.718 0.902 0.816
Dy 0.107 0.255 0.853
Ni 0.856 0.595 0.261
Ni 0.334 0.595 0.739
Te 0.756 0.756 0.000
Te 0.360 0.860 0.500
Tm 0.472 0.105 0.367
Tm 0.738 0.105 0.633

---

DFT (PBE-GGA) results for crystalline Dy5Tm2Ni2Te2 at its relaxed geometry.

Results
Magnetic moment = 0.020 μB/f.u.
Crystal system = orthorhombic
Distance to the lowest polymorph of the same formula = 0.011 eV/atom
Total energy = -56.773 eV/cell
Space group = Imm2, No. 44

Lattice parameters (Å, degrees): 9.348 9.348 9.348 156.31 66.56 118.81
Atoms (fractional coordinates):
Dy 0.524 0.524 0.000
Dy 0.237 0.105 0.132
Dy 0.218 0.903 0.316
Dy 0.587 0.903 0.684
Dy 0.972 0.105 0.868
Ni 0.833 0.595 0.238
Ni 0.356 0.595 0.762
Te 0.859 0.859 0.000
Te 0.258 0.758 0.500
Tm 0.607 0.255 0.353
Tm 0.902 0.255 0.647

---

DFT (PBE-GGA) results for crystalline Dy5Tm2Ni2Te2 at its relaxed geometry.

Results
Magnetic moment = 0.008 μB/f.u.
Crystal system = orthorhombic
Distance to the lowest polymorph of the same formula = 0.000 eV/atom
Total energy = -56.888 eV/cell
Space group = Imm2, No. 44

Lattice parameters (Å, degrees): 9.328 9.328 9.328 156.23 66.84 118.56
Atoms (fractional coordinates):
Dy 0.523 0.523 0.000
Dy 0.238 0.105 0.133
Dy 0.606 0.254 0.352
Dy 0.902 0.254 0.648
Dy 0.972 0.105 0.867
Ni 0.832 0.594 0.238
Ni 0.356 0.594 0.762
Te 0.859 0.859 0.000
Te 0.259 0.759 0.500
Tm 0.219 0.903 0.316
Tm 0.587 0.903 0.684

---

DFT (PBE-GGA) results for crystalline Dy3Y2Tm2Ni2Te2 at its relaxed geometry.

Results
Magnetic moment = 0.012 μB/f.u.
Crystal system = orthorhombic
Distance to the lowest polymorph of the same formula = 0.001 eV/atom
Total energy = -60.635 eV/cell
Space group = Imm2, No. 44

Lattice parameters (Å, degrees): 9.331 9.331 9.331 156.21 66.91 118.50
Atoms (fractional coordinates):
Dy 0.477 0.477 0.000
Dy 0.099 0.747 0.352
Dy 0.395 0.747 0.648
Ni 0.643 0.406 0.237
Ni 0.169 0.406 0.763
Te 0.142 0.142 0.000
Te 0.740 0.240 0.500
Tm 0.411 0.096 0.315
Tm 0.781 0.096 0.685
Y 0.026 0.894 0.132
Y 0.763 0.894 0.868

---

DFT (PBE-GGA) results for crystalline Dy4YTm2Ni2Te2 at its relaxed geometry.

Results
Magnetic moment = 0.018 μB/f.u.
Crystal system = orthorhombic
Distance to the lowest polymorph of the same formula = 0.009 eV/atom
Total energy = -58.699 eV/cell
Space group = Imm2, No. 44

Lattice parameters (Å, degrees): 9.334 9.334 9.334 156.29 66.89 118.48
Atoms (fractional coordinates):
Dy 0.028 0.895 0.132
Dy 0.411 0.097 0.314
Dy 0.783 0.097 0.686
Dy 0.763 0.895 0.868
Ni 0.640 0.404 0.237
Ni 0.167 0.404 0.763
Te 0.142 0.142 0.000
Te 0.741 0.241 0.500
Tm 0.100 0.747 0.353
Tm 0.394 0.747 0.647
Y 0.476 0.476 0.000

---

DFT (PBE-GGA) results for crystalline Dy2Y2Tm3Ni2Te2 at its relaxed geometry.

Results
Magnetic moment = 0.012 μB/f.u.
Crystal system = orthorhombic
Distance to the lowest polymorph of the same formula = 0.010 eV/atom
Total energy = -60.332 eV/cell
Space group = Imm2, No. 44

Lattice parameters (Å, degrees): 9.303 9.303 9.303 156.31 67.06 118.30
Atoms (fractional coordinates):
Dy 0.281 0.096 0.185
Dy 0.911 0.096 0.815
Ni 0.668 0.404 0.264
Ni 0.139 0.404 0.736
Te 0.240 0.240 0.000
Te 0.643 0.143 0.500
Tm 0.895 0.749 0.146
Tm 0.976 0.476 0.500
Tm 0.602 0.749 0.854
Y 0.264 0.895 0.369
Y 0.526 0.895 0.631

---

DFT (PBE-GGA) results for crystalline Dy3Y2Tm2Ni2Te2 at its relaxed geometry.

Results
Magnetic moment = 0.011 μB/f.u.
Crystal system = orthorhombic
Distance to the lowest polymorph of the same formula = 0.013 eV/atom
Total energy = -60.499 eV/cell
Space group = Imm2, No. 44

Lattice parameters (Å, degrees): 9.354 9.354 9.354 156.30 67.04 118.32
Atoms (fractional coordinates):
Dy 0.476 0.476 0.000
Dy 0.028 0.896 0.133
Dy 0.763 0.896 0.867
Ni 0.640 0.402 0.238
Ni 0.165 0.402 0.762
Te 0.143 0.143 0.000
Te 0.741 0.241 0.500
Tm 0.100 0.748 0.353
Tm 0.395 0.748 0.647
Y 0.413 0.098 0.315
Y 0.783 0.098 0.685

---

DFT (PBE-GGA) results for crystalline Dy3Y2Tm2Ni2Te2 at its relaxed geometry.

Results
Magnetic moment = 0.007 μB/f.u.
Crystal system = orthorhombic
Distance to the lowest polymorph of the same formula = 0.012 eV/atom
Total energy = -60.518 eV/cell
Space group = Imm2, No. 44

Lattice parameters (Å, degrees): 9.342 9.342 9.342 156.24 66.83 118.57
Atoms (fractional coordinates):
Dy 0.477 0.477 0.000
Dy 0.099 0.746 0.353
Dy 0.393 0.746 0.647
Ni 0.643 0.404 0.240
Ni 0.164 0.404 0.760
Te 0.139 0.139 0.000
Te 0.744 0.244 0.500
Tm 0.028 0.895 0.133
Tm 0.762 0.895 0.867
Y 0.414 0.099 0.316
Y 0.783 0.099 0.684

---

DFT (PBE-GGA) results for crystalline DyY2Tm4Ni2Te2 at its relaxed geometry.

Results
Magnetic moment = 0.008 μB/f.u.
Crystal system = orthorhombic
Distance to the lowest polymorph of the same formula = 0.000 eV/atom
Total energy = -60.408 eV/cell
Space group = Imm2, No. 44

Lattice parameters (Å, degrees): 9.288 9.288 9.288 156.10 66.97 118.49
Atoms (fractional coordinates):
Dy 0.478 0.478 0.000
Ni 0.647 0.407 0.240
Ni 0.167 0.407 0.760
Te 0.139 0.139 0.000
Te 0.743 0.243 0.500
Tm 0.028 0.894 0.134
Tm 0.412 0.097 0.315
Tm 0.782 0.097 0.685
Tm 0.760 0.894 0.866
Y 0.098 0.745 0.353
Y 0.392 0.745 0.647

---

DFT (PBE-GGA) results for crystalline DyY2Tm4Ni2Te2 at its relaxed geometry.

Results
Magnetic moment = 0.028 μB/f.u.
Crystal system = orthorhombic
Distance to the lowest polymorph of the same formula = 0.003 eV/atom
Total energy = -60.377 eV/cell
Space group = Imm2, No. 44

Lattice parameters (Å, degrees): 9.312 9.312 9.312 156.20 67.12 118.28
Atoms (fractional coordinates):
Dy 0.476 0.476 0.000
Ni 0.641 0.405 0.236
Ni 0.169 0.405 0.764
Te 0.143 0.143 0.000
Te 0.740 0.240 0.500
Tm 0.411 0.096 0.315
Tm 0.100 0.747 0.352
Tm 0.395 0.747 0.648
Tm 0.782 0.096 0.685
Y 0.027 0.895 0.132
Y 0.763 0.895 0.868

---

DFT (PBE-GGA) results for crystalline Dy2YTm4Ni2Te2 at its relaxed geometry.

Results
Magnetic moment = 0.018 μB/f.u.
Crystal system = orthorhombic
Distance to the lowest polymorph of the same formula = 0.010 eV/atom
Total energy = -58.455 eV/cell
Space group = Imm2, No. 44

Lattice parameters (Å, degrees): 9.312 9.312 9.312 156.23 66.92 118.48
Atoms (fractional coordinates):
Dy 0.412 0.097 0.315
Dy 0.783 0.097 0.685
Ni 0.643 0.404 0.239
Ni 0.166 0.404 0.761
Te 0.140 0.140 0.000
Te 0.743 0.243 0.500
Tm 0.028 0.895 0.132
Tm 0.099 0.746 0.353
Tm 0.393 0.746 0.647
Tm 0.763 0.895 0.868
Y 0.477 0.477 0.000

---

DFT (PBE-GGA) results for crystalline DyY2Tm4Ni2Te2 at its relaxed geometry.

Results
Magnetic moment = 0.009 μB/f.u.
Crystal system = orthorhombic
Distance to the lowest polymorph of the same formula = 0.014 eV/atom
Total energy = -60.251 eV/cell
Space group = Imm2, No. 44

Lattice parameters (Å, degrees): 9.310 9.310 9.310 156.22 67.06 118.33
Atoms (fractional coordinates):
Dy 0.476 0.476 0.000
Ni 0.641 0.403 0.239
Ni 0.164 0.403 0.761
Te 0.140 0.140 0.000
Te 0.743 0.243 0.500
Tm 0.028 0.895 0.133
Tm 0.100 0.747 0.353
Tm 0.394 0.747 0.647
Tm 0.763 0.895 0.867
Y 0.414 0.098 0.315
Y 0.783 0.098 0.685

---

DFT (PBE-GGA) results for crystalline DyY4Tm2Ni2Te2 at its relaxed geometry.

Results
Magnetic moment = 0.047 μB/f.u.
Crystal system = orthorhombic
Distance to the lowest polymorph of the same formula = 0.000 eV/atom
Total energy = -64.394 eV/cell
Space group = Imm2, No. 44

Lattice parameters (Å, degrees): 9.363 9.363 9.363 156.25 66.92 118.47
Atoms (fractional coordinates):
Dy 0.477 0.477 0.000
Ni 0.644 0.406 0.238
Ni 0.167 0.406 0.762
Te 0.142 0.142 0.000
Te 0.741 0.241 0.500
Tm 0.412 0.097 0.316
Tm 0.781 0.097 0.684
Y 0.027 0.895 0.131
Y 0.099 0.745 0.354
Y 0.392 0.745 0.646
Y 0.764 0.895 0.869

---

DFT (PBE-GGA) results for crystalline Dy2YTm4Ni2Te2 at its relaxed geometry.

Results
Magnetic moment = 0.006 μB/f.u.
Crystal system = orthorhombic
Distance to the lowest polymorph of the same formula = 0.000 eV/atom
Total energy = -58.566 eV/cell
Space group = Imm2, No. 44

Lattice parameters (Å, degrees): 9.283 9.283 9.283 156.14 66.86 118.58
Atoms (fractional coordinates):
Dy 0.098 0.746 0.352
Dy 0.394 0.746 0.648
Ni 0.645 0.406 0.239
Ni 0.167 0.406 0.761
Te 0.139 0.139 0.000
Te 0.743 0.243 0.500
Tm 0.028 0.894 0.133
Tm 0.412 0.097 0.315
Tm 0.783 0.097 0.685
Tm 0.761 0.894 0.867
Y 0.477 0.477 0.000

---

DFT (PBE-GGA) results for crystalline Dy2Y2Tm3Ni2Te2 at its relaxed geometry.

Results
Magnetic moment = 0.008 μB/f.u.
Crystal system = orthorhombic
Distance to the lowest polymorph of the same formula = 0.001 eV/atom
Total energy = -60.439 eV/cell
Space group = Imm2, No. 44

Lattice parameters (Å, degrees): 9.331 9.331 9.331 156.25 66.84 118.56
Atoms (fractional coordinates):
Dy 0.895 0.748 0.147
Dy 0.600 0.748 0.853
Ni 0.669 0.406 0.263
Ni 0.143 0.406 0.737
Te 0.239 0.239 0.000
Te 0.642 0.142 0.500
Tm 0.281 0.096 0.185
Tm 0.977 0.477 0.500
Tm 0.911 0.096 0.815
Y 0.263 0.895 0.368
Y 0.526 0.895 0.632

---

DFT (PBE-GGA) results for crystalline Dy2Y2Tm3Ni2Te2 at its relaxed geometry.

Results
Magnetic moment = 0.008 μB/f.u.
Crystal system = orthorhombic
Distance to the lowest polymorph of the same formula = 0.011 eV/atom
Total energy = -60.324 eV/cell
Space group = Imm2, No. 44

Lattice parameters (Å, degrees): 9.324 9.324 9.324 156.25 67.05 118.33
Atoms (fractional coordinates):
Dy 0.101 0.747 0.353
Dy 0.394 0.747 0.647
Ni 0.643 0.403 0.240
Ni 0.164 0.403 0.760
Te 0.139 0.139 0.000
Te 0.743 0.243 0.500
Tm 0.476 0.476 0.000
Tm 0.028 0.895 0.133
Tm 0.762 0.895 0.867
Y 0.414 0.098 0.316
Y 0.782 0.098 0.684